Below is an optimized crystal structure of LiVSi2O6, with properties calculated at the GGA+U level.

**DOS(E_F)**: 0.000 states/eV per atom
**Space-group type**: No. 14
**Raw total energy**: -7.54 eV per atom
**V**: 10.8 Å³/atom
**Energy above the lowest structure with this stoichiometry**: 0.0 meV per atom

Lattice parameters (Å, degrees): 8.768 5.370 9.406 77.19 90.00 90.00
Last column: magnetic moment on the atom in μB.
Fractional positions:
Li 0.492 0.488 0.247  0.00
Li 0.992 0.012 0.753  0.00
Li 0.008 0.988 0.247  0.00
Li 0.508 0.512 0.753  0.00
V 0.347 0.015 0.750  1.92
V 0.653 0.985 0.250  1.92
V 0.153 0.515 0.750  1.92
V 0.847 0.485 0.250  1.92
Si 0.661 0.211 0.548  0.00
Si 0.161 0.289 0.452  0.00
Si 0.662 0.766 0.951  0.00
Si 0.839 0.711 0.548  0.00
Si 0.339 0.789 0.452  0.00
Si 0.838 0.266 0.951  0.00
Si 0.162 0.734 0.049  0.00
Si 0.338 0.234 0.049  0.00
O 0.994 0.697 0.120  -0.01
O 0.167 0.802 0.869  -0.01
O 0.006 0.303 0.880  -0.01
O 0.835 0.777 0.368  -0.01
O 0.232 0.978 0.108  0.00
O 0.268 0.478 0.108  0.00
O 0.998 0.268 0.374  -0.01
O 0.273 0.083 0.397  0.00
O 0.502 0.768 0.374  -0.01
O 0.165 0.223 0.632  -0.01
O 0.498 0.232 0.626  -0.01
O 0.727 0.917 0.603  0.00
O 0.768 0.022 0.892  0.00
O 0.494 0.803 0.880  -0.01
O 0.333 0.302 0.869  -0.01
O 0.667 0.698 0.131  -0.01
O 0.732 0.522 0.892  0.00
O 0.833 0.198 0.131  -0.01
O 0.773 0.417 0.603  0.00
O 0.665 0.277 0.368  -0.01
O 0.335 0.723 0.632  -0.01
O 0.227 0.583 0.397  0.00
O 0.002 0.732 0.626  -0.01
O 0.506 0.197 0.120  -0.01